A plane-wave DFT calculation with GGA-PBE was carried out for RbTl2In after structural relaxation.

Properties
- Fermi-level density of states (states/eV/atom) = 0.61
- crystal system = tetragonal
- DFT formation energy (meV/atom) = 96
- E above lowest polymorph (meV/atom) = 189

The structure in CIF format:
```
data_RbTl2In
_chemical_formula_sum 'Rb4 Tl8 In4'
_space_group_name_H-M_alt 'I -4 2 d'
_space_group_IT_number 122
_space_group_name_Hall 'I -4 2bw'
_cell_length_a 5.764
_cell_length_b 5.764
_cell_length_c 21.347
_cell_angle_alpha 90.00
_cell_angle_beta 90.00
_cell_angle_gamma 90.00
loop_
_atom_site_label
_atom_site_type_symbol
_atom_site_fract_x
_atom_site_fract_y
_atom_site_fract_z
Rb1 Rb 0.000 0.000 0.000
Tl1 Tl 0.106 0.250 0.625
In1 In 0.000 0.000 0.500
```

A plane-wave DFT calculation with GGA-PBE was carried out for RbTl3In after structural relaxation.

Properties
- Fermi-level density of states (states/eV/atom) = 1.71
- crystal system = cubic
- DFT formation energy (meV/atom) = 753
- E above lowest polymorph (meV/atom) = 824

The structure in CIF format:
```
data_RbTl3In
_chemical_formula_sum 'Rb1 Tl3 In1'
_space_group_name_H-M_alt 'P m -3 m'
_space_group_IT_number 221
_space_group_name_Hall '-P 4 2 3'
_cell_length_a 6.373
_cell_length_b 6.373
_cell_length_c 6.373
_cell_angle_alpha 90.00
_cell_angle_beta 90.00
_cell_angle_gamma 90.00
loop_
_atom_site_label
_atom_site_type_symbol
_atom_site_fract_x
_atom_site_fract_y
_atom_site_fract_z
Rb1 Rb 0.000 0.000 0.000
Tl1 Tl 0.000 0.000 0.500
In1 In 0.500 0.500 0.500
```

A plane-wave DFT calculation with GGA-PBE was carried out for RbTl4In2 after structural relaxation.

Properties
- Fermi-level density of states (states/eV/atom) = 0.31
- crystal system = monoclinic
- DFT formation energy (meV/atom) = -31
- E above lowest polymorph (meV/atom) = 0

The structure in CIF format:
```
data_RbTl4In2
_chemical_formula_sum 'Rb2 Tl8 In4'
_space_group_name_H-M_alt 'C 1 2/m 1'
_space_group_IT_number 12
_cell_length_a 10.566
_cell_length_b 8.667
_cell_length_c 6.119
_cell_angle_alpha 90.00
_cell_angle_beta 124.86
_cell_angle_gamma 90.00
loop_
_space_group_symop_operation_xyz
'x,y,z'
'-x,-y,-z'
'-x,y,-z'
'x,-y,z'
'x+1/2,y+1/2,z'
'-x+1/2,-y+1/2,-z'
'-x+1/2,y+1/2,-z'
'x+1/2,-y+1/2,z'
loop_
_atom_site_label
_atom_site_type_symbol
_atom_site_fract_x
_atom_site_fract_y
_atom_site_fract_z
Rb1 Rb 0.000 0.000 0.000
Tl1 Tl 0.191 0.190 0.691
In1 In 0.002 0.500 0.751
```

A plane-wave DFT calculation with GGA-PBE was carried out for RbTl4In3 after structural relaxation.

Properties
- Fermi-level density of states (states/eV/atom) = 0.45
- crystal system = tetragonal
- DFT formation energy (meV/atom) = -21

The structure in CIF format:
```
data_RbTl4In3
_chemical_formula_sum 'Rb1 Tl4 In3'
_space_group_name_H-M_alt 'P 4/m m m'
_space_group_IT_number 123
_space_group_name_Hall '-P 4 2'
_cell_length_a 5.412
_cell_length_b 5.412
_cell_length_c 9.312
_cell_angle_alpha 90.00
_cell_angle_beta 90.00
_cell_angle_gamma 90.00
loop_
_atom_site_label
_atom_site_type_symbol
_atom_site_fract_x
_atom_site_fract_y
_atom_site_fract_z
Rb1 Rb 0.000 0.000 0.000
Tl1 Tl 0.000 0.500 0.318
In1 In 0.000 0.000 0.500
In2 In 0.500 0.500 0.157
```

A plane-wave DFT calculation with GGA-PBE was carried out for RbTl2In9 after structural relaxation.

Properties
- Fermi-level density of states (states/eV/atom) = 0.47
- crystal system = trigonal
- DFT formation energy (meV/atom) = -4

The structure in CIF format:
```
data_RbTl2In9
_chemical_formula_sum 'Rb3 Tl6 In27'
_space_group_name_H-M_alt 'R -3 m'
_space_group_IT_number 166
_space_group_name_Hall '-R 3 2"'
_cell_length_a 6.3734
_cell_length_b 6.3734
_cell_length_c 31.4403
_cell_angle_alpha 90.00
_cell_angle_beta 90.00
_cell_angle_gamma 120.00
loop_
_atom_site_label
_atom_site_type_symbol
_atom_site_fract_x
_atom_site_fract_y
_atom_site_fract_z
Rb1 Rb 0.0000 0.0000 0.0000
Tl1 Tl 0.0000 0.0000 0.1410
In1 In 0.0000 0.0000 0.3354
In2 In 0.0000 0.0000 0.5000
In3 In 0.0074 0.5037 0.9134
```

A plane-wave DFT calculation with GGA-PBE was carried out for RbTlIn3 after structural relaxation.

Properties
- Fermi-level density of states (states/eV/atom) = 0.86
- crystal system = cubic
- DFT formation energy (meV/atom) = 236
- E above lowest polymorph (meV/atom) = 327

The structure in CIF format:
```
data_RbTlIn3
_chemical_formula_sum 'Rb1 Tl1 In3'
_space_group_name_H-M_alt 'P m -3 m'
_space_group_IT_number 221
_space_group_name_Hall '-P 4 2 3'
_cell_length_a 5.965
_cell_length_b 5.965
_cell_length_c 5.965
_cell_angle_alpha 90.00
_cell_angle_beta 90.00
_cell_angle_gamma 90.00
loop_
_atom_site_label
_atom_site_type_symbol
_atom_site_fract_x
_atom_site_fract_y
_atom_site_fract_z
Rb1 Rb 0.000 0.000 0.000
Tl1 Tl 0.500 0.500 0.500
In1 In 0.000 0.500 0.500
```

A plane-wave DFT calculation with GGA-PBE was carried out for RbTl3In after structural relaxation.

Properties
- Fermi-level density of states (states/eV/atom) = 0.88
- crystal system = cubic
- DFT formation energy (meV/atom) = 114
- E above lowest polymorph (meV/atom) = 185

The structure in CIF format:
```
data_RbTl3In
_chemical_formula_sum 'Rb1 Tl3 In1'
_space_group_name_H-M_alt 'P m -3 m'
_space_group_IT_number 221
_space_group_name_Hall '-P 4 2 3'
_cell_length_a 5.975
_cell_length_b 5.975
_cell_length_c 5.975
_cell_angle_alpha 90.00
_cell_angle_beta 90.00
_cell_angle_gamma 90.00
loop_
_atom_site_label
_atom_site_type_symbol
_atom_site_fract_x
_atom_site_fract_y
_atom_site_fract_z
Rb1 Rb 0.000 0.000 0.000
Tl1 Tl 0.000 0.500 0.500
In1 In 0.500 0.500 0.500
```

A plane-wave DFT calculation with GGA-PBE was carried out for Rb2Tl5In2 after structural relaxation.

Properties
- Fermi-level density of states (states/eV/atom) = 0.77
- crystal system = tetragonal
- DFT formation energy (meV/atom) = -6

The structure in CIF format:
```
data_Rb2Tl5In2
_chemical_formula_sum 'Rb2 Tl5 In2'
_space_group_name_H-M_alt 'P 4/m m m'
_space_group_IT_number 123
_space_group_name_Hall '-P 4 2'
_cell_length_a 5.265
_cell_length_b 5.265
_cell_length_c 11.624
_cell_angle_alpha 90.00
_cell_angle_beta 90.00
_cell_angle_gamma 90.00
loop_
_atom_site_label
_atom_site_type_symbol
_atom_site_fract_x
_atom_site_fract_y
_atom_site_fract_z
Rb1 Rb 0.000 0.000 0.000
Rb2 Rb 0.000 0.000 0.500
Tl1 Tl 0.000 0.500 0.225
Tl2 Tl 0.500 0.500 0.000
In1 In 0.500 0.500 0.371
```

A plane-wave DFT calculation with GGA-PBE was carried out for Rb2TlIn after structural relaxation.

Properties
- Fermi-level density of states (states/eV/atom) = 0.33
- crystal system = monoclinic
- DFT formation energy (meV/atom) = -66
- E above lowest polymorph (meV/atom) = 0

The structure in CIF format:
```
data_Rb2TlIn
_chemical_formula_sum 'Rb8 Tl4 In4'
_space_group_name_H-M_alt 'C 1 m 1'
_space_group_IT_number 8
_cell_length_a 13.780
_cell_length_b 5.277
_cell_length_c 11.539
_cell_angle_alpha 90.00
_cell_angle_beta 118.65
_cell_angle_gamma 90.00
loop_
_space_group_symop_operation_xyz
'x,y,z'
'x,-y,z'
'x+1/2,y+1/2,z'
'x+1/2,-y+1/2,z'
loop_
_atom_site_label
_atom_site_type_symbol
_atom_site_fract_x
_atom_site_fract_y
_atom_site_fract_z
Rb1 Rb 0.000 0.000 0.000
Rb2 Rb 0.001 0.000 0.497
Rb3 Rb 0.130 0.500 0.816
Rb4 Rb 0.366 0.000 0.178
Tl1 Tl 0.182 0.500 0.254
Tl2 Tl 0.317 0.000 0.746
In1 In 0.249 0.000 0.424
In2 In 0.255 0.500 0.577
```

A plane-wave DFT calculation with GGA-PBE was carried out for Rb2Tl7In12 after structural relaxation.

Properties
- Fermi-level density of states (states/eV/atom) = 0.44
- crystal system = trigonal
- DFT formation energy (meV/atom) = -3

The structure in CIF format:
```
data_Rb2Tl7In12
_chemical_formula_sum 'Rb2 Tl7 In12'
_space_group_name_H-M_alt 'P -3'
_space_group_IT_number 147
_cell_length_a 12.6625
_cell_length_b 12.6625
_cell_length_c 4.8618
_cell_angle_alpha 90.00
_cell_angle_beta 90.00
_cell_angle_gamma 120.00
loop_
_space_group_symop_operation_xyz
'x,y,z'
'-x,-y,-z'
'-y,x-y,z'
'y,-x+y,-z'
'-x+y,-x,z'
'x-y,x,-z'
loop_
_atom_site_label
_atom_site_type_symbol
_atom_site_fract_x
_atom_site_fract_y
_atom_site_fract_z
Rb1 Rb 0.3333 0.6667 0.2552
Tl1 Tl 0.0000 0.0000 0.0000
Tl2 Tl 0.0732 0.6296 0.7355
In1 In 0.1009 0.3946 0.7813
In2 In 0.1218 0.8683 0.2884
```